Entry 1:
# BaTmTlSe3 (PBE-GGA, relaxed)
# * uncorrected energy: -0.3359 Ry per atom
data_BaTmTlSe3
_chemical_formula_sum 'Ba2 Tm2 Tl2 Se6'
_symmetry_space_group_name_H-M 'P 1'
_symmetry_Int_Tables_number 1
_cell_length_a 7.9982
_cell_length_b 7.9982
_cell_length_c 12.1570
_cell_angle_alpha 90.00
_cell_angle_beta 90.00
_cell_angle_gamma 149.40
loop_
_symmetry_equiv_pos_as_xyz
'x,y,z'
loop_
_atom_site_label
_atom_site_fract_x
_atom_site_fract_y
_atom_site_fract_z
_atom_site_occupancy
Tm1 0.0000 0.0000 0.5000 1
Se1 0.9936 0.0064 0.7500 1
Se2 0.6220 0.3780 0.4986 1
Tl1 0.3704 0.6296 0.2500 1
Tm2 0.0000 0.0000 0.0000 1
Se3 0.6220 0.3780 0.0014 1
Se4 0.3780 0.6220 0.5014 1
Se5 0.3780 0.6220 0.9986 1
Se6 0.0064 0.9936 0.2500 1
Tl2 0.6296 0.3704 0.7500 1
Ba1 0.6667 0.3333 0.2500 1
Ba2 0.3333 0.6667 0.7500 1

Entry 2:
# BaTmZnSe3 (PBE-GGA, relaxed)
# * uncorrected energy: -0.3259 Ry per atom
data_BaTmZnSe3
_chemical_formula_sum 'Ba2 Tm2 Zn2 Se6'
_symmetry_space_group_name_H-M 'P 1'
_symmetry_Int_Tables_number 1
_cell_length_a 7.3121
_cell_length_b 7.3121
_cell_length_c 10.6008
_cell_angle_alpha 90.00
_cell_angle_beta 90.00
_cell_angle_gamma 144.94
loop_
_symmetry_equiv_pos_as_xyz
'x,y,z'
loop_
_atom_site_label
_atom_site_fract_x
_atom_site_fract_y
_atom_site_fract_z
_atom_site_occupancy
Se1 0.6304 0.3696 0.9385 1
Ba1 0.7533 0.2467 0.2500 1
Tm1 0.0000 0.0000 0.0000 1
Se2 0.6304 0.3696 0.5615 1
Ba2 0.2467 0.7533 0.7500 1
Zn1 0.5181 0.4819 0.7500 1
Zn2 0.4819 0.5181 0.2500 1
Tm2 0.0000 0.0000 0.5000 1
Se3 0.0709 0.9291 0.2500 1
Se4 0.9291 0.0709 0.7500 1
Se5 0.3696 0.6304 0.0615 1
Se6 0.3696 0.6304 0.4385 1

no.,magnetic moment (μB/atom),V (Å³ per atom),theoretical density (kg/m3)
1,0.00,33.0,6271
2,0.00,27.1,6207